[1]
This record from the Alexandria database describes a relaxed OsRu2 crystal. The functional is GGA-PBEsol.

Output
Magnetization: 0.000 μB per formula unit
VASP energy: -10.86 eV/atom
Formation energy from the elements: -0.007 eV/atom

Cell: 2.7028 5.0532 6.3352 Å, 103.15 90.00 105.51°
Last column: nearest neighbours and their distance in Å.
Positions (direct):
Os (0.0280, 0.0561, 0.8056)  9 Ru 2.64-2.70, 3 Os 2.65-2.70
Os (0.9720, 0.9439, 0.1944)  9 Ru 2.64-2.70, 3 Os 2.65-2.70
Ru (0.6386, 0.2772, 0.5268)  8 Ru 2.64-2.71, 4 Os 2.65-2.70
Ru (0.3058, 0.6115, 0.8613)  7 Ru 2.64-2.71, 5 Os 2.64-2.70
Ru (0.6942, 0.3885, 0.1387)  7 Ru 2.64-2.71, 5 Os 2.64-2.70
Ru (0.3614, 0.7228, 0.4732)  8 Ru 2.64-2.71, 4 Os 2.65-2.70

[2]
This record from the Alexandria database describes a relaxed TiBe3As crystal. The functional is GGA-PBEsol.

Output
Magnetization: 0.001 μB per formula unit
VASP energy: -4.19 eV/atom
Formation energy from the elements: 0.894 eV/atom

Cell: 4.1695 4.1695 4.1695 Å, 90.00 90.00 90.00°
Last column: nearest neighbours and their distance in Å.
Positions (direct):
Be (0.0000, 0.5000, 0.0000)  2 As 2.08
Be (0.0000, 0.0000, 0.5000)  2 As 2.08
Be (0.5000, 0.0000, 0.0000)  2 As 2.08
As (0.0000, 0.0000, 0.0000)  6 Be 2.08
Ti (0.5000, 0.5000, 0.5000)  12 Be 2.95

[3]
This record from the Alexandria database describes a relaxed K3Dy crystal. The functional is GGA-PBEsol.

Output
Magnetization: 0.005 μB per formula unit
VASP energy: -1.48 eV/atom
Formation energy from the elements: 0.611 eV/atom

Cell: 5.7313 5.7313 7.5687 Å, 112.25 112.25 90.00°
Last column: nearest neighbours and their distance in Å.
Positions (direct):
K (0.2500, 0.7500, 0.5000)  8 K 4.05-4.29, 4 Dy 4.29
K (0.7500, 0.2500, 0.5000)  8 K 4.05-4.29, 4 Dy 4.29
K (0.5000, 0.5000, 0.0000)  4 Dy 4.05, 8 K 4.29
Dy (0.0000, 0.0000, 0.0000)  12 K 4.05-4.29

[4]
This record from the Alexandria database describes a relaxed GaSiH3 crystal. The functional is GGA-PBEsol.

Output
Magnetization: 0.000 μB per formula unit
VASP energy: -3.11 eV/atom

Cell: 3.6126 3.6126 3.6126 Å, 90.00 90.00 90.00°
Last column: nearest neighbours and their distance in Å.
Positions (direct):
H (0.0000, 0.5000, 0.0000)  2 Ga 1.81
H (0.0000, 0.0000, 0.5000)  2 Ga 1.81
H (0.5000, 0.0000, 0.0000)  2 Ga 1.81
Si (0.5000, 0.5000, 0.5000)  12 H 2.55
Ga (0.0000, 0.0000, 0.0000)  6 H 1.81

Q: The highest magnetization belongs to which entry?
A: K3Dy